# K2U3S8 PBE relaxed
# Calculated total energy   -6.67 eV per atom
# ΔE_f (raw)   -1.3558 eV per atom
# M_tot   0.308 μB/atom
data_K2U3S8
_chemical_formula_sum 'K4 U6 S16'
_space_group_name_H-M_alt 'C 1 2/m 1'
_space_group_IT_number 12
_cell_length_a 15.231
_cell_length_b 8.114
_cell_length_c 6.934
_cell_angle_alpha 90.00
_cell_angle_beta 108.53
_cell_angle_gamma 90.00
loop_
_space_group_symop_operation_xyz
'x,y,z'
'-x,-y,-z'
'-x,y,-z'
'x,-y,z'
'x+1/2,y+1/2,z'
'-x+1/2,-y+1/2,-z'
'-x+1/2,y+1/2,-z'
'x+1/2,-y+1/2,z'
loop_
_atom_site_label
_atom_site_type_symbol
_atom_site_fract_x
_atom_site_fract_y
_atom_site_fract_z
_atom_site_occupancy
K1 K 0.228 0.000 0.161 1
U1 U 0.000 0.244 0.500 1
U2 U 0.000 0.500 0.000 1
S1 S 0.095 0.500 0.402 1
S2 S 0.097 0.276 0.885 1
S3 S 0.103 0.000 0.458 1